[1]
SmTm2PbC | PBE | relaxed

```
data_SmTm2PbC
_space_group_name_H-M_alt 'P 4/m m m'
_space_group_IT_number 123
_space_group_name_Hall '-P 4 2'
_cell_length_a 4.846
_cell_length_b 4.846
_cell_length_c 5.059
_cell_angle_alpha 90.00
_cell_angle_beta 90.00
_cell_angle_gamma 90.00
loop_
_atom_site_label
_atom_site_fract_x
_atom_site_fract_y
_atom_site_fract_z
Sm1 0.000 0.000 0.000
Tm1 0.000 0.500 0.500
Pb1 0.500 0.500 0.000
C1 0.000 0.000 0.500
```

Values from the calculation:
Calculated formation energy (eV per atom): -0.521
Calculated total energy (eV/cell): -29.20
Calculated volume (Å³ per atom): 23.8

***

[2]
Sm3TmPb2C | PBE | relaxed

```
data_Sm3TmPb2C
_space_group_name_H-M_alt 'I m m m'
_space_group_IT_number 71
_space_group_name_Hall '-I 2 2'
_cell_length_a 4.805
_cell_length_b 4.945
_cell_length_c 16.464
_cell_angle_alpha 90.00
_cell_angle_beta 90.00
_cell_angle_gamma 90.00
loop_
_atom_site_label
_atom_site_fract_x
_atom_site_fract_y
_atom_site_fract_z
Sm1 0.000 0.000 0.000
Sm2 0.000 0.500 0.159
Tm1 0.000 0.000 0.500
Pb1 0.000 0.500 0.360
C1 0.000 0.500 0.000
```

Values from the calculation:
Calculated formation energy (eV per atom): -0.539
Calculated total energy (eV/cell): -78.08
Calculated volume (Å³ per atom): 27.9

***

[3]
Sm3YPb2C | PBE | relaxed

```
data_Sm3YPb2C
_space_group_name_H-M_alt 'I m m m'
_space_group_IT_number 71
_space_group_name_Hall '-I 2 2'
_cell_length_a 4.863
_cell_length_b 4.950
_cell_length_c 16.480
_cell_angle_alpha 90.00
_cell_angle_beta 90.00
_cell_angle_gamma 90.00
loop_
_atom_site_label
_atom_site_fract_x
_atom_site_fract_y
_atom_site_fract_z
Sm1 0.000 0.000 0.000
Sm2 0.000 0.500 0.159
Y1 0.000 0.000 0.500
Pb1 0.000 0.500 0.359
C1 0.000 0.500 0.000
```

Values from the calculation:
Calculated formation energy (eV per atom): -0.530
Calculated total energy (eV/cell): -81.95
Calculated volume (Å³ per atom): 28.3

***

[4]
SmY2PbC | PBE | relaxed

```
data_SmY2PbC
_space_group_name_H-M_alt 'P 4/m m m'
_space_group_IT_number 123
_space_group_name_Hall '-P 4 2'
_cell_length_a 4.931
_cell_length_b 4.931
_cell_length_c 5.060
_cell_angle_alpha 90.00
_cell_angle_beta 90.00
_cell_angle_gamma 90.00
loop_
_atom_site_label
_atom_site_fract_x
_atom_site_fract_y
_atom_site_fract_z
Sm1 0.000 0.000 0.000
Y1 0.000 0.500 0.500
Pb1 0.500 0.500 0.000
C1 0.000 0.000 0.500
```

Values from the calculation:
Calculated formation energy (eV per atom): -0.530
Calculated total energy (eV/cell): -33.23
Calculated volume (Å³ per atom): 24.6

***

[5]
Sn2PbC | PBE | relaxed

```
data_Sn2PbC
_space_group_name_H-M_alt 'F m -3 m'
_space_group_IT_number 225
_space_group_name_Hall '-F 4 2 3'
_cell_length_a 7.228
_cell_length_b 7.228
_cell_length_c 7.228
_cell_angle_alpha 90.00
_cell_angle_beta 90.00
_cell_angle_gamma 90.00
loop_
_atom_site_label
_atom_site_fract_x
_atom_site_fract_y
_atom_site_fract_z
Sn1 0.250 0.250 0.250
Pb1 0.000 0.000 0.000
C1 0.000 0.000 0.500
```

Values from the calculation:
Calculated formation energy (eV per atom): 1.435
Calculated total energy (eV/cell): -60.79
Calculated volume (Å³ per atom): 23.6

***

[6]
SnPb3C | PBE | relaxed

```
data_SnPb3C
_space_group_name_H-M_alt 'P m -3 m'
_space_group_IT_number 221
_space_group_name_Hall '-P 4 2 3'
_cell_length_a 5.097
_cell_length_b 5.097
_cell_length_c 5.097
_cell_angle_alpha 90.00
_cell_angle_beta 90.00
_cell_angle_gamma 90.00
loop_
_atom_site_label
_atom_site_fract_x
_atom_site_fract_y
_atom_site_fract_z
Sn1 0.000 0.000 0.000
Pb1 0.000 0.500 0.500
C1 0.500 0.500 0.500
```

Values from the calculation:
Calculated formation energy (eV per atom): 0.844
Calculated total energy (eV/cell): -20.13
Calculated volume (Å³ per atom): 26.5

***

[7]
Sn2PbC | PBE | relaxed

```
data_Sn2PbC
_space_group_name_H-M_alt 'A m m 2'
_space_group_IT_number 38
_space_group_name_Hall 'A 2 -2'
_cell_length_a 3.528
_cell_length_b 3.596
_cell_length_c 15.532
_cell_angle_alpha 90.00
_cell_angle_beta 90.00
_cell_angle_gamma 90.00
loop_
_atom_site_label
_atom_site_fract_x
_atom_site_fract_y
_atom_site_fract_z
Sn1 0.000 0.000 0.000
Sn2 0.500 0.000 0.329
Pb1 0.000 0.000 0.673
C1 0.500 0.000 0.915
```

Values from the calculation:
Calculated formation energy (eV per atom): 0.591
Calculated total energy (eV/cell): -37.15
Calculated volume (Å³ per atom): 24.6

***

[8]
SnPb2C | PBE | relaxed

```
data_SnPb2C
_space_group_name_H-M_alt 'I -4 2 d'
_space_group_IT_number 122
_space_group_name_Hall 'I -4 2bw'
_cell_length_a 6.261
_cell_length_b 6.261
_cell_length_c 11.521
_cell_angle_alpha 90.00
_cell_angle_beta 90.00
_cell_angle_gamma 90.00
loop_
_atom_site_label
_atom_site_fract_x
_atom_site_fract_y
_atom_site_fract_z
Sn1 0.000 0.000 0.000
Pb1 0.170 0.250 0.625
C1 0.000 0.000 0.500
```

Values from the calculation:
Calculated formation energy (eV per atom): 0.941
Calculated total energy (eV/cell): -67.52
Calculated volume (Å³ per atom): 28.2

***

[9]
Sn2PbC | PBE | relaxed

```
data_Sn2PbC
_space_group_name_H-M_alt 'C 1 m 1'
_space_group_IT_number 8
_space_group_name_Hall 'C -2y'
_cell_length_a 6.253
_cell_length_b 3.348
_cell_length_c 9.164
_cell_angle_alpha 90.00
_cell_angle_beta 93.61
_cell_angle_gamma 90.00
loop_
_atom_site_label
_atom_site_fract_x
_atom_site_fract_y
_atom_site_fract_z
Sn1 0.000 0.000 0.000
Sn2 0.248 0.000 0.308
Pb1 0.241 0.000 0.649
C1 0.050 0.500 0.187
```

Values from the calculation:
Calculated formation energy (eV per atom): 0.633
Calculated total energy (eV/cell): -36.81
Calculated volume (Å³ per atom): 23.9

***

[10]
Sn2PbC | PBE | relaxed

```
data_Sn2PbC
_space_group_name_H-M_alt 'C 1 2/m 1'
_space_group_IT_number 12
_space_group_name_Hall '-C 2y'
_cell_length_a 6.014
_cell_length_b 3.461
_cell_length_c 8.914
_cell_angle_alpha 90.00
_cell_angle_beta 103.60
_cell_angle_gamma 90.00
loop_
_atom_site_label
_atom_site_fract_x
_atom_site_fract_y
_atom_site_fract_z
Sn1 0.221 0.000 0.158
Pb1 0.000 0.000 0.500
C1 0.000 0.500 0.000
```

Values from the calculation:
Calculated formation energy (eV per atom): 0.643
Calculated total energy (eV/cell): -36.73
Calculated volume (Å³ per atom): 22.5

***

[11]
SnPb3C | PBE | relaxed

```
data_SnPb3C
_space_group_name_H-M_alt 'P m -3 m'
_space_group_IT_number 221
_space_group_name_Hall '-P 4 2 3'
_cell_length_a 5.886
_cell_length_b 5.886
_cell_length_c 5.886
_cell_angle_alpha 90.00
_cell_angle_beta 90.00
_cell_angle_gamma 90.00
loop_
_atom_site_label
_atom_site_fract_x
_atom_site_fract_y
_atom_site_fract_z
Sn1 0.000 0.000 0.000
Pb1 0.000 0.000 0.500
C1 0.500 0.500 0.500
```

Values from the calculation:
Calculated formation energy (eV per atom): 1.828
Calculated total energy (eV/cell): -15.21
Calculated volume (Å³ per atom): 40.8

***

[12]
Sn2PbC | PBE | relaxed

```
data_Sn2PbC
_space_group_name_H-M_alt 'A m m 2'
_space_group_IT_number 38
_space_group_name_Hall 'A 2 -2'
_cell_length_a 3.337
_cell_length_b 7.414
_cell_length_c 10.169
_cell_angle_alpha 90.00
_cell_angle_beta 90.00
_cell_angle_gamma 90.00
loop_
_atom_site_label
_atom_site_fract_x
_atom_site_fract_y
_atom_site_fract_z
Sn1 0.000 0.214 0.000
Pb1 0.500 0.000 0.254
C1 0.500 0.000 0.003
```

Values from the calculation:
Calculated formation energy (eV per atom): 0.808
Calculated total energy (eV/cell): -35.41
Calculated volume (Å³ per atom): 31.4

***

[13]
Sn3PbC | PBE | relaxed

```
data_Sn3PbC
_space_group_name_H-M_alt 'P m -3 m'
_space_group_IT_number 221
_space_group_name_Hall '-P 4 2 3'
_cell_length_a 4.929
_cell_length_b 4.929
_cell_length_c 4.929
_cell_angle_alpha 90.00
_cell_angle_beta 90.00
_cell_angle_gamma 90.00
loop_
_atom_site_label
_atom_site_fract_x
_atom_site_fract_y
_atom_site_fract_z
Sn1 0.000 0.000 0.500
Pb1 0.500 0.500 0.500
C1 0.000 0.000 0.000
```

Values from the calculation:
Calculated formation energy (eV per atom): 0.756
Calculated total energy (eV/cell): -21.16
Calculated volume (Å³ per atom): 24.0